This record from Alexandria via LeMat-Bulk describes a relaxed structure of SrPmAgF6. The functional is PBE.

ΔE_f (raw)   -3.29 eV/atom
Magnetic moment   0.1 μB per formula unit

Cell: 6.1012 6.1012 10.5848 Å, 90.00 90.00 120.00°
Closest atoms and distances in Å follow each position.
Element x y z (fractional)
Sr 0.0000 0.0000 0.0000  6 F 2.46
Sr 0.0000 0.0000 0.5000  6 F 2.46
Pm 0.6667 0.3333 0.2500  6 F 2.28
Pm 0.3333 0.6667 0.7500  6 F 2.28
Ag 0.3333 0.6667 0.2500  6 F 2.51
Ag 0.6667 0.3333 0.7500  6 F 2.51
F 0.6848 0.6546 0.1320  1 Pm 2.28, 1 Sr 2.46, 1 Ag 2.51
F 0.9697 0.3152 0.1320  1 Pm 2.28, 1 Sr 2.46, 1 Ag 2.51
F 0.3152 0.9697 0.6320  1 Pm 2.28, 1 Sr 2.46, 1 Ag 2.51
F 0.0303 0.6848 0.8680  1 Pm 2.28, 1 Sr 2.46, 1 Ag 2.51
F 0.3454 0.3152 0.3680  1 Pm 2.28, 1 Sr 2.46, 1 Ag 2.51
F 0.9697 0.6546 0.3680  1 Pm 2.28, 1 Sr 2.46, 1 Ag 2.51
F 0.6546 0.9697 0.8680  1 Pm 2.28, 1 Sr 2.46, 1 Ag 2.51
F 0.6848 0.0303 0.3680  1 Pm 2.28, 1 Sr 2.46, 1 Ag 2.51
F 0.0303 0.3454 0.6320  1 Pm 2.28, 1 Sr 2.46, 1 Ag 2.51
F 0.3454 0.0303 0.1320  1 Pm 2.28, 1 Sr 2.46, 1 Ag 2.51
F 0.6546 0.6848 0.6320  1 Pm 2.28, 1 Sr 2.46, 1 Ag 2.51
F 0.3152 0.3454 0.8680  1 Pm 2.28, 1 Sr 2.46, 1 Ag 2.51